No. 1
Density functional theory data (PBE-GGA) for crystalline Ba2YRe at its relaxed geometry.

Properties
offset from the most stable computed form = 0.352 eV per atom
ρ = 7.58 Mg/m³
calculated total energy = -4.782 eV/atom
size of the total moment = 0.00 μB per atom
ΔE_f = 907 meV per atom
space-group type = No. 119

Cell lengths 5.5475, 5.5475, 5.5475 Å; angles 120.13, 120.13, 89.77 degrees
With the nearest neighbours (Å) after each atom.
Fractional coordinates of all 4 atoms:
Y 0.7500 0.2500 0.5000  4 Re 3.39, 4 Ba 3.39
Re 0.5000 0.5000 0.0000  4 Y 3.39, 4 Ba 3.39
Ba 0.2500 0.7500 0.5000  4 Ba 3.39, 4 Re 3.39
Ba 0.0000 0.0000 0.0000  4 Ba 3.39, 4 Y 3.39

---

No. 2
Density functional theory data (PBE-GGA) for crystalline Ac2ReAs at its relaxed geometry.

Properties
offset from the most stable computed form = 0.766 eV per atom
ρ = 8.53 Mg/m³
calculated total energy = -5.543 eV/atom
size of the total moment = 0.01 μB per atom
ΔE_f = 785 meV per atom
space-group type = No. 166

Cell lengths 4.1298, 4.1298, 9.7169 Å; angles 77.73, 77.73, 60.00 degrees
With the nearest neighbours (Å) after each atom.
Fractional coordinates of all 4 atoms:
Ac 0.9025 0.9025 0.2924  1 Re 2.75, 3 As 3.08
Ac 0.0975 0.0975 0.7076  1 Re 2.75, 3 As 3.08
Re 0.0000 0.0000 0.0000  2 Ac 2.75
As 0.5000 0.5000 0.5000  6 Ac 3.08

---

No. 3
Density functional theory data (PBE-GGA) for crystalline NbNiN at its relaxed geometry.

Properties
ρ = 7.86 Mg/m³
calculated total energy = -8.189 eV/atom
size of the total moment = 0.00 μB per atom
space-group type = No. 38

Cell lengths 2.9480, 2.8908, 9.5411 Å; angles 90.00, 90.00, 120.66 degrees
With the nearest neighbours (Å) after each atom.
Fractional coordinates of all 6 atoms:
Nb 0.2687 0.5374 0.8485  3 N 2.20-2.22
N 0.6031 0.2062 0.0000  6 Nb 2.20-2.22
Ni 0.6190 0.2381 0.3790  3 N 2.01-2.05
Ni 0.6190 0.2381 0.6210  3 N 2.01-2.05
Nb 0.2687 0.5374 0.1515  3 N 2.20-2.22
N 0.2880 0.5760 0.5000  6 Ni 2.01-2.05